The following is a DFT calculation (GGA-PBE) of a relaxed structure of LiCuReSb.

Mass density, g/cm³: 10.53
Polymorph energy (0 for the lowest one), meV per atom: 254
Total magnetization, μB per cell: 0.00

Structure (POSCAR):
```
LiCuReSb
1.0
0.000 3.102 3.102
3.102 0.000 3.102
3.102 3.102 0.000
Li Cu Re Sb
1 1 1 1
Cartesian
0.000 0.000 0.000
3.102 3.102 3.102
4.653 4.653 4.653
1.551 1.551 1.551
```

The following is a DFT calculation (GGA-PBE) of a relaxed structure of PmMg2Ga2.

Mass density, g/cm³: 5.01
VASP energy, eV per atom: -3.204
Total magnetization, μB per cell: 0.00

Structure (POSCAR):
```
PmMg2Ga2
1.0
-2.167 2.167 5.876
2.167 -2.167 5.876
2.167 2.167 -5.876
Pm Mg Ga
1 2 2
Cartesian
0.000 0.000 0.000
2.167 0.000 2.938
0.000 2.167 2.938
0.000 0.000 4.648
0.000 0.000 7.105
```

The following is a DFT calculation (GGA-PBE) of a relaxed structure of Lu2Sn3Mo4N3.

Mass density, g/cm³: 9.83
VASP energy, eV per atom: -7.919
Total magnetization, μB per cell: 0.02

Structure (POSCAR):
```
Lu2Sn3Mo4N3
1.0
4.927 -2.867 0.000
4.927 2.867 0.000
-3.196 0.000 13.536
Lu Sn Mo N
4 6 8 6
Cartesian
2.478 2.379 8.065
2.584 2.379 12.239
4.075 -2.379 1.297
4.182 -2.379 5.471
-0.500 0.647 10.125
1.098 -0.647 3.357
2.531 0.195 10.152
4.129 -0.195 3.384
5.562 0.647 10.179
7.160 -0.647 3.411
2.542 0.529 1.013
2.494 0.388 5.767
0.944 -0.529 7.781
0.896 -0.388 12.535
5.763 0.388 1.001
5.715 0.529 5.755
4.165 -0.388 7.769
4.118 -0.529 12.523
0.866 1.434 6.768
0.944 1.483 13.536
4.118 1.483 6.768
2.464 -1.434 0.000
2.541 -1.483 6.768
5.716 -1.483 0.000
```

The following is a DFT calculation (GGA-PBE) of a relaxed structure of RbLi4ReO6.

Mass density, g/cm³: 4.46
VASP energy, eV per atom: -5.991
Total magnetization, μB per cell: 0.00

Structure (POSCAR):
```
RbLi4ReO6
1.0
2.691 -5.647 0.000
2.691 5.647 0.000
-1.611 0.000 4.842
Rb Li Re O
1 4 1 6
Cartesian
0.000 0.000 0.000
1.886 3.509 2.421
1.886 1.030 2.421
2.691 -2.175 0.000
1.886 -3.321 2.421
2.691 2.148 0.000
1.113 2.318 1.112
0.532 0.795 3.656
0.893 -2.217 1.106
2.659 2.318 3.730
3.240 0.795 1.186
2.879 -2.217 3.736
```

The following is a DFT calculation (GGA-PBE) of a relaxed structure of HoEr2P3.

Mass density, g/cm³: 7.40
VASP energy, eV per atom: -6.602
Total magnetization, μB per cell: 0.00

Structure (POSCAR):
```
HoEr2P3
1.0
3.971 0.000 0.000
-1.985 3.439 0.000
0.000 0.000 9.740
Ho Er P
1 2 3
Cartesian
0.000 0.000 0.000
0.000 2.293 3.249
1.985 1.146 6.491
0.000 0.000 4.870
0.000 2.293 8.110
1.985 1.146 1.630
```

The following is a DFT calculation (GGA-PBE) of a relaxed structure of SrFeN3.

Mass density, g/cm³: 5.58
VASP energy, eV per atom: -6.560
Total magnetization, μB per cell: 0.01

Structure (POSCAR):
```
SrFeN3
1.0
2.692 -2.700 0.000
2.692 2.700 0.000
0.000 0.000 3.794
Sr Fe N
1 1 3
Cartesian
0.000 0.000 0.000
2.692 0.000 1.897
1.346 1.350 1.897
1.346 -1.350 1.897
2.692 0.000 0.000
```

The following is a DFT calculation (GGA-PBE) of a relaxed structure of PmHo4Ag5.

Formation energy, eV per atom: -0.33
Mass density, g/cm³: 9.35
Total magnetization, μB per cell: 0.05

Structure (POSCAR):
```
PmHo4Ag5
1.0
3.615 0.000 0.000
0.000 3.615 0.000
0.000 0.000 18.262
Pm Ho Ag
1 4 5
Cartesian
0.000 0.000 0.000
0.000 0.000 3.730
0.000 0.000 7.329
0.000 0.000 10.933
0.000 0.000 14.532
1.808 1.808 1.981
1.808 1.808 5.524
1.808 1.808 9.131
1.808 1.808 12.737
1.808 1.808 16.281
```

The following is a DFT calculation (GGA-PBE) of a relaxed structure of Cu2P7.

Mass density, g/cm³: 3.55
VASP energy, eV per atom: -5.135

Structure (POSCAR):
```
Cu2P7
1.0
6.335 -3.637 0.000
6.335 3.637 0.000
-4.392 0.000 13.958
Cu P
8 28
Cartesian
-1.116 0.000 4.923
-2.266 0.000 13.501
1.051 0.000 7.994
3.958 0.000 2.875
4.321 0.000 11.084
7.228 0.000 5.964
10.544 0.000 0.457
9.395 0.000 9.036
2.748 1.929 3.116
2.132 1.874 5.267
-2.170 0.000 11.126
0.857 1.709 13.691
1.051 0.000 5.677
1.200 1.142 11.573
4.252 1.790 5.883
4.027 1.790 8.075
4.200 0.000 0.604
7.422 1.709 0.267
5.530 1.929 10.842
6.147 1.874 8.692
7.079 1.142 2.386
3.141 0.000 9.009
5.138 0.000 4.949
1.200 -1.142 11.573
2.132 -1.874 5.267
2.748 -1.929 3.116
0.857 -1.709 13.691
4.079 0.000 13.354
4.252 -1.790 5.883
4.027 -1.790 8.075
7.079 -1.142 2.386
7.227 0.000 8.282
7.422 -1.709 0.267
10.448 0.000 2.833
6.147 -1.874 8.692
5.530 -1.929 10.842
```

The highest mass density belongs to which entry? LiCuReSb